(1)
The following is a PBE calculation of a relaxed structure of Fe2RhPb, from Alexandria via LeMat-Bulk.

CIF file:
```
data_Fe2RhPb
_chemical_formula_sum 'Fe2 Rh1 Pb1'
_symmetry_space_group_name_H-M 'P 1'
_symmetry_Int_Tables_number 1
_symmetry_space_group_name_Hall 'P 1'
_cell_length_a 2.983
_cell_length_b 3.798
_cell_length_c 5.787
_cell_angle_alpha 90.00
_cell_angle_beta 90.09
_cell_angle_gamma 90.00
loop_
_atom_site_label
_atom_site_fract_x
_atom_site_fract_y
_atom_site_fract_z
Fe1 0.001 0.000 0.203
Fe2 0.999 0.000 0.797
Rh1 0.500 0.500 0.000
Pb1 0.500 0.500 0.500
```

## Properties
D(E_F) = 1.019 states/eV per atom

=====

(2)
The following is a PBE calculation of a relaxed structure of FeRhPb2, from Alexandria via LeMat-Bulk.

CIF file:
```
data_FeRhPb2
_chemical_formula_sum 'Fe4 Rh4 Pb8'
_symmetry_space_group_name_H-M 'P 1'
_symmetry_Int_Tables_number 1
_symmetry_space_group_name_Hall 'P 1'
_cell_length_a 6.912
_cell_length_b 6.912
_cell_length_c 6.912
_cell_angle_alpha 90.00
_cell_angle_beta 90.00
_cell_angle_gamma 90.00
loop_
_atom_site_label
_atom_site_fract_x
_atom_site_fract_y
_atom_site_fract_z
Fe1 0.000 0.000 0.000
Fe2 0.000 0.500 0.500
Fe3 0.500 0.000 0.500
Fe4 0.500 0.500 0.000
Rh1 0.250 0.250 0.750
Rh2 0.250 0.750 0.250
Rh3 0.750 0.250 0.250
Rh4 0.750 0.750 0.750
Pb1 0.000 0.000 0.500
Pb2 0.000 0.500 0.000
Pb3 0.250 0.250 0.250
Pb4 0.250 0.750 0.750
Pb5 0.500 0.000 0.000
Pb6 0.500 0.500 0.500
Pb7 0.750 0.250 0.750
Pb8 0.750 0.750 0.250
```

## Properties
energy above the lowest structure with this stoichiometry = 421 meV/atom
D(E_F) = 1.043 states/eV per atom

=====

(3)
The following is a PBE calculation of a relaxed structure of Fe2RhPb, from Alexandria via LeMat-Bulk.

CIF file:
```
data_Fe2RhPb
_chemical_formula_sum 'Fe2 Rh1 Pb1'
_symmetry_space_group_name_H-M 'P 1'
_symmetry_Int_Tables_number 1
_symmetry_space_group_name_Hall 'P 1'
_cell_length_a 3.883
_cell_length_b 3.897
_cell_length_c 4.100
_cell_angle_alpha 90.00
_cell_angle_beta 90.00
_cell_angle_gamma 90.00
loop_
_atom_site_label
_atom_site_fract_x
_atom_site_fract_y
_atom_site_fract_z
Fe1 0.000 0.000 0.000
Fe2 0.500 0.500 0.000
Rh1 0.000 0.500 0.500
Pb1 0.500 0.000 0.500
```

## Properties
D(E_F) = 0.846 states/eV per atom

=====

Result set for raw total energy: -0.491, -0.385, -0.495 Ry/atom, one per record in the order listed.
Result set for magnetization: 6.442, 13.229, 5.404 Bohr magnetons per cell, one per record in the order listed.
Result set for formation energy: 123, 220, 99 kJ/mol of formula units, one per record in the order listed.